1.
A relaxed Mn2ReS6 crystal. Source: Alexandria, functional GGA-PBE.

Computed properties:
**E_tot**: -113.83 eV per cell
**D(E_F)**: 4.35 states/eV/f.u.

CIF file:
```
data_Mn2ReS6
_space_group_name_H-M_alt 'C 1 2/m 1'
_space_group_IT_number 12
_cell_length_a 10.827
_cell_length_b 4.067
_cell_length_c 7.892
_cell_angle_alpha 90.00
_cell_angle_beta 117.52
_cell_angle_gamma 90.00
loop_
_space_group_symop_operation_xyz
'x,y,z'
'-x,-y,-z'
'-x,y,-z'
'x,-y,z'
'x+1/2,y+1/2,z'
'-x+1/2,-y+1/2,-z'
'-x+1/2,y+1/2,-z'
'x+1/2,-y+1/2,z'
loop_
_atom_site_label
_atom_site_fract_x
_atom_site_fract_y
_atom_site_fract_z
_atom_site_occupancy
Mn1 0.139 0.000 0.063 1
Re1 0.000 0.000 0.500 1
S1 0.027 0.000 0.228 1
S2 0.146 0.500 0.617 1
S3 0.217 0.500 0.085 1
```

=====

2.
A relaxed MnReS3 crystal. Source: Alexandria, functional GGA-PBE.

Computed properties:
**E_tot**: -28.71 eV per cell
**D(E_F)**: 11.14 states/eV/f.u.

CIF file:
```
data_MnReS3
_space_group_name_H-M_alt 'P m -3 m'
_space_group_IT_number 221
_space_group_name_Hall '-P 4 2 3'
_cell_length_a 4.609
_cell_length_b 4.609
_cell_length_c 4.609
_cell_angle_alpha 90.00
_cell_angle_beta 90.00
_cell_angle_gamma 90.00
loop_
_atom_site_label
_atom_site_fract_x
_atom_site_fract_y
_atom_site_fract_z
_atom_site_occupancy
Mn1 0.000 0.000 0.000 1
Re1 0.500 0.500 0.500 1
S1 0.000 0.500 0.500 1
```

=====

3.
A relaxed MnReS4 crystal. Source: Alexandria, functional GGA-PBE.

Computed properties:
**E_tot**: -79.49 eV per cell
**D(E_F)**: 4.97 states/eV/f.u.

CIF file:
```
data_MnReS4
_space_group_name_H-M_alt 'C m m m'
_space_group_IT_number 65
_space_group_name_Hall '-C 2 2'
_cell_length_a 7.770
_cell_length_b 8.013
_cell_length_c 3.361
_cell_angle_alpha 90.00
_cell_angle_beta 90.00
_cell_angle_gamma 90.00
loop_
_atom_site_label
_atom_site_fract_x
_atom_site_fract_y
_atom_site_fract_z
_atom_site_occupancy
Mn1 0.000 0.000 0.000 1
Re1 0.000 0.500 0.500 1
S1 0.000 0.291 0.000 1
S2 0.199 0.000 0.500 1
```

=====

4.
A relaxed Mn2Re2S crystal. Source: Alexandria, functional GGA-PBE.

Computed properties:
**E_tot**: -90.29 eV per cell
**D(E_F)**: 3.91 states/eV/f.u.

CIF file:
```
data_Mn2Re2S
_space_group_name_H-M_alt 'I 4/m m m'
_space_group_IT_number 139
_space_group_name_Hall '-I 4 2'
_cell_length_a 3.114
_cell_length_b 3.114
_cell_length_c 13.794
_cell_angle_alpha 90.00
_cell_angle_beta 90.00
_cell_angle_gamma 90.00
loop_
_atom_site_label
_atom_site_fract_x
_atom_site_fract_y
_atom_site_fract_z
_atom_site_occupancy
Mn1 0.000 0.500 0.250 1
Re1 0.000 0.000 0.103 1
S1 0.000 0.000 0.500 1
```

=====

5.
A relaxed Mn2Re2S crystal. Source: Alexandria, functional GGA-PBE.

Computed properties:
**E_tot**: -39.09 eV per cell
**D(E_F)**: 3.29 states/eV/f.u.

CIF file:
```
data_Mn2Re2S
_space_group_name_H-M_alt 'P 4/m m m'
_space_group_IT_number 123
_space_group_name_Hall '-P 4 2'
_cell_length_a 4.753
_cell_length_b 4.753
_cell_length_c 4.722
_cell_angle_alpha 90.00
_cell_angle_beta 90.00
_cell_angle_gamma 90.00
loop_
_atom_site_label
_atom_site_fract_x
_atom_site_fract_y
_atom_site_fract_z
_atom_site_occupancy
Mn1 0.000 0.500 0.000 1
Re1 0.000 0.000 0.000 1
Re2 0.000 0.000 0.500 1
S1 0.500 0.500 0.500 1
```

=====

6.
A relaxed MnReS crystal. Source: Alexandria, functional GGA-PBE.

Computed properties:
**E_tot**: -77.19 eV per cell
**D(E_F)**: 1.46 states/eV/f.u.

CIF file:
```
data_MnReS
_space_group_name_H-M_alt 'R 3 m'
_space_group_IT_number 160
_space_group_name_Hall 'R 3 -2"'
_cell_length_a 3.0227
_cell_length_b 3.0227
_cell_length_c 15.5457
_cell_angle_alpha 90.00
_cell_angle_beta 90.00
_cell_angle_gamma 120.00
loop_
_atom_site_label
_atom_site_fract_x
_atom_site_fract_y
_atom_site_fract_z
_atom_site_occupancy
Mn1 0.0000 0.0000 0.0000 1
Re1 0.0000 0.0000 0.2027 1
S1 0.0000 0.0000 0.7651 1
```